# 1
A plane-wave DFT calculation with PBE was carried out for K3H2Br3 after structural relaxation.

ΔE to the lowest computed polymorph, meV per atom: 586

Cell and atoms, written as CIF:
```
data_K3H2Br3
_chemical_formula_sum 'K12 H8 Br12'
_cell_length_a 4.321
_cell_length_b 12.078
_cell_length_c 17.355
_cell_angle_alpha 90.00
_cell_angle_beta 90.00
_cell_angle_gamma 90.00
_space_group_name_H-M_alt 'C m c m'
_space_group_IT_number 63
_space_group_name_Hall '-C 2c 2'
loop_
_atom_site_label
_atom_site_fract_x
_atom_site_fract_y
_atom_site_fract_z
_atom_site_occupancy
K1 0.000 0.103 0.091 1
K2 0.000 0.355 0.250 1
H1 0.000 0.116 0.648 1
Br1 0.000 0.364 0.750 1
Br2 0.000 0.376 0.065 1
```

=====

# 2
A plane-wave DFT calculation with PBE was carried out for CdB2Ir2 after structural relaxation.

Formation energy from the elements, meV/atom: 195

Cell and atoms, written as CIF:
```
data_CdB2Ir2
_chemical_formula_sum 'Cd2 B4 Ir4'
_cell_length_a 6.607
_cell_length_b 6.607
_cell_length_c 2.753
_cell_angle_alpha 90.00
_cell_angle_beta 90.00
_cell_angle_gamma 90.00
_space_group_name_H-M_alt 'P 4/m b m'
_space_group_IT_number 127
_space_group_name_Hall '-P 4 2ab'
loop_
_atom_site_label
_atom_site_fract_x
_atom_site_fract_y
_atom_site_fract_z
_atom_site_occupancy
Cd1 0.000 0.000 0.000 1
B1 0.131 0.369 0.000 1
Ir1 0.150 0.650 0.500 1
```

=====

# 3
A plane-wave DFT calculation with PBE was carried out for TbTlCdGa after structural relaxation.

Formation energy from the elements, meV/atom: -177

Cell and atoms, written as CIF:
```
data_TbTlCdGa
_chemical_formula_sum 'Tb4 Tl4 Cd4 Ga4'
_cell_length_a 7.274
_cell_length_b 7.274
_cell_length_c 7.274
_cell_angle_alpha 90.00
_cell_angle_beta 90.00
_cell_angle_gamma 90.00
_space_group_name_H-M_alt 'F -4 3 m'
_space_group_IT_number 216
_space_group_name_Hall 'F -4 2 3'
loop_
_atom_site_label
_atom_site_fract_x
_atom_site_fract_y
_atom_site_fract_z
_atom_site_occupancy
Tb1 0.000 0.000 0.000 1
Tl1 0.250 0.250 0.250 1
Cd1 0.000 0.000 0.500 1
Ga1 0.250 0.250 0.750 1
```

=====

# 4
A plane-wave DFT calculation with PBE was carried out for In2NiW after structural relaxation.

Formation energy from the elements, meV/atom: 286
ΔE to the lowest computed polymorph, meV per atom: 0

Cell and atoms, written as CIF:
```
data_In2NiW
_chemical_formula_sum 'In2 Ni1 W1'
_cell_length_a 2.946
_cell_length_b 2.946
_cell_length_c 8.453
_cell_angle_alpha 90.00
_cell_angle_beta 90.00
_cell_angle_gamma 90.00
_space_group_name_H-M_alt 'P 4 m m'
_space_group_IT_number 99
_space_group_name_Hall 'P 4 -2'
loop_
_atom_site_label
_atom_site_fract_x
_atom_site_fract_y
_atom_site_fract_z
_atom_site_occupancy
In1 0.000 0.000 0.000 1
In2 0.500 0.500 0.341 1
Ni1 0.000 0.000 0.562 1
W1 0.500 0.500 0.744 1
```

=====

# 5
A plane-wave DFT calculation with PBE was carried out for Zn7Pd3 after structural relaxation.

Formation energy from the elements, meV/atom: -264
ΔE to the lowest computed polymorph, meV per atom: 112

Cell and atoms, written as CIF:
```
data_Zn7Pd3
_chemical_formula_sum 'Zn14 Pd6'
_cell_length_a 8.4853
_cell_length_b 8.4853
_cell_length_c 5.0152
_cell_angle_alpha 90.00
_cell_angle_beta 90.00
_cell_angle_gamma 120.00
_space_group_name_H-M_alt 'P 63 m c'
_space_group_IT_number 186
_space_group_name_Hall 'P 6c -2c'
loop_
_atom_site_label
_atom_site_fract_x
_atom_site_fract_y
_atom_site_fract_z
_atom_site_occupancy
Zn1 0.0486 0.5243 0.0000 1
Zn2 0.1227 0.2454 0.8191 1
Zn3 0.3333 0.6667 0.6703 1
Pd1 0.2004 0.4008 0.3219 1
```

=====

# 6
A plane-wave DFT calculation with PBE was carried out for Nb2H2Pd after structural relaxation.

ΔE to the lowest computed polymorph, meV per atom: 185

Cell and atoms, written as CIF:
```
data_Nb2H2Pd
_chemical_formula_sum 'Nb4 H4 Pd2'
_cell_length_a 6.329
_cell_length_b 6.329
_cell_length_c 2.838
_cell_angle_alpha 90.00
_cell_angle_beta 90.00
_cell_angle_gamma 90.00
_space_group_name_H-M_alt 'P 4/m b m'
_space_group_IT_number 127
_space_group_name_Hall '-P 4 2ab'
loop_
_atom_site_label
_atom_site_fract_x
_atom_site_fract_y
_atom_site_fract_z
_atom_site_occupancy
Nb1 0.152 0.348 0.000 1
H1 0.123 0.623 0.500 1
Pd1 0.000 0.000 0.500 1
```

=====

# 7
A plane-wave DFT calculation with PBE was carried out for TlSnI2O after structural relaxation.

ΔE to the lowest computed polymorph, meV per atom: 554
Formation energy (no corrections), eV/atom: -0.06

Cell and atoms, written as CIF:
```
data_TlSnI2O
_chemical_formula_sum 'Tl1 Sn1 I2 O1'
_cell_length_a 6.269
_cell_length_b 6.269
_cell_length_c 4.126
_cell_angle_alpha 90.00
_cell_angle_beta 90.00
_cell_angle_gamma 90.00
_space_group_name_H-M_alt 'P 4/m m m'
_space_group_IT_number 123
_space_group_name_Hall '-P 4 2'
loop_
_atom_site_label
_atom_site_fract_x
_atom_site_fract_y
_atom_site_fract_z
_atom_site_occupancy
Tl1 0.000 0.000 0.000 1
Sn1 0.500 0.500 0.500 1
I1 0.000 0.500 0.000 1
O1 0.000 0.000 0.500 1
```

=====

# 8
A plane-wave DFT calculation with PBE was carried out for Ac3Ga2Pb after structural relaxation.

Formation energy from the elements, meV/atom: -448

Cell and atoms, written as CIF:
```
data_Ac3Ga2Pb
_chemical_formula_sum 'Ac3 Ga2 Pb1'
_cell_length_a 3.985
_cell_length_b 3.985
_cell_length_c 12.187
_cell_angle_alpha 90.00
_cell_angle_beta 90.00
_cell_angle_gamma 90.00
_space_group_name_H-M_alt 'P 4/m m m'
_space_group_IT_number 123
_space_group_name_Hall '-P 4 2'
loop_
_atom_site_label
_atom_site_fract_x
_atom_site_fract_y
_atom_site_fract_z
_atom_site_occupancy
Ac1 0.000 0.000 0.000 1
Ac2 0.000 0.000 0.316 1
Ga1 0.500 0.500 0.156 1
Pb1 0.500 0.500 0.500 1
```

=====

# 9
A plane-wave DFT calculation with PBE was carried out for LiLa2Cl after structural relaxation.

ΔE to the lowest computed polymorph, meV per atom: 101
Formation energy (no corrections), eV/atom: -0.58

Cell and atoms, written as CIF:
```
data_LiLa2Cl
_chemical_formula_sum 'Li2 La4 Cl2'
_cell_length_a 11.899
_cell_length_b 3.597
_cell_length_c 5.007
_cell_angle_alpha 90.00
_cell_angle_beta 90.16
_cell_angle_gamma 90.00
_space_group_name_H-M_alt 'C 1 m 1'
_space_group_IT_number 8
_space_group_name_Hall 'C -2y'
loop_
_atom_site_label
_atom_site_fract_x
_atom_site_fract_y
_atom_site_fract_z
_atom_site_occupancy
Li1 0.000 0.000 0.000 1
La1 0.244 0.500 0.998 1
La2 0.476 0.000 0.500 1
Cl1 0.223 0.000 0.498 1
```

=====

# 10
A plane-wave DFT calculation with PBE was carried out for Pm3ErCu8 after structural relaxation.

Formation energy from the elements, meV/atom: -126

Cell and atoms, written as CIF:
```
data_Pm3ErCu8
_chemical_formula_sum 'Pm9 Er3 Cu24'
_cell_length_a 5.3217
_cell_length_b 5.3217
_cell_length_c 26.0529
_cell_angle_alpha 90.00
_cell_angle_beta 90.00
_cell_angle_gamma 120.00
_space_group_name_H-M_alt 'R 3 m'
_space_group_IT_number 160
_space_group_name_Hall 'R 3 -2"'
loop_
_atom_site_label
_atom_site_fract_x
_atom_site_fract_y
_atom_site_fract_z
_atom_site_occupancy
Pm1 0.0000 0.0000 0.0000 1
Pm2 0.0000 0.0000 0.1242 1
Pm3 0.0000 0.0000 0.6077 1
Er1 0.0000 0.0000 0.4828 1
Cu1 0.0000 0.0000 0.3039 1
Cu2 0.0000 0.0000 0.8040 1
Cu3 0.0096 0.5048 0.5532 1
Cu4 0.1700 0.3400 0.3879 1
```

=====

# 11
A plane-wave DFT calculation with PBE was carried out for SiAgMo after structural relaxation.

ΔE to the lowest computed polymorph, meV per atom: 70
Formation energy (no corrections), eV/atom: 0.33

Cell and atoms, written as CIF:
```
data_SiAgMo
_chemical_formula_sum 'Si4 Ag4 Mo4'
_cell_length_a 5.894
_cell_length_b 5.894
_cell_length_c 5.894
_cell_angle_alpha 90.00
_cell_angle_beta 90.00
_cell_angle_gamma 90.00
_space_group_name_H-M_alt 'F -4 3 m'
_space_group_IT_number 216
_space_group_name_Hall 'F -4 2 3'
loop_
_atom_site_label
_atom_site_fract_x
_atom_site_fract_y
_atom_site_fract_z
_atom_site_occupancy
Si1 0.000 0.000 0.000 1
Ag1 0.250 0.250 0.250 1
Mo1 0.250 0.250 0.750 1
```

=====

# 12
A plane-wave DFT calculation with PBE was carried out for K6Cu3F14 after structural relaxation.

Formation energy (no corrections), eV/atom: -2.14

Cell and atoms, written as CIF:
```
data_K6Cu3F14
_chemical_formula_sum 'K6 Cu3 F14'
_cell_length_a 9.1925
_cell_length_b 9.1925
_cell_length_c 5.7682
_cell_angle_alpha 90.00
_cell_angle_beta 90.00
_cell_angle_gamma 120.00
_space_group_name_H-M_alt 'P 3'
_space_group_IT_number 143
_space_group_name_Hall 'P 3'
loop_
_atom_site_label
_atom_site_fract_x
_atom_site_fract_y
_atom_site_fract_z
_atom_site_occupancy
K1 0.0483 0.4528 0.0000 1
K2 0.3134 0.2099 0.5340 1
Cu1 0.0000 0.0000 0.0820 1
Cu2 0.3333 0.6667 0.5411 1
Cu3 0.6667 0.3333 0.1735 1
F1 0.0000 0.0000 0.7556 1
F2 0.0741 0.2049 0.2338 1
F3 0.1877 0.7223 0.6969 1
F4 0.3333 0.6667 0.2156 1
F5 0.4687 0.2678 0.9826 1
F6 0.5390 0.1369 0.3683 1
```

=====

# 13
A plane-wave DFT calculation with PBE was carried out for Sc2Sb2H after structural relaxation.

ΔE to the lowest computed polymorph, meV per atom: 169

Cell and atoms, written as CIF:
```
data_Sc2Sb2H
_chemical_formula_sum 'Sc4 Sb4 H2'
_cell_length_a 6.788
_cell_length_b 6.788
_cell_length_c 4.468
_cell_angle_alpha 90.00
_cell_angle_beta 90.00
_cell_angle_gamma 90.00
_space_group_name_H-M_alt 'P 4/m b m'
_space_group_IT_number 127
_space_group_name_Hall '-P 4 2ab'
loop_
_atom_site_label
_atom_site_fract_x
_atom_site_fract_y
_atom_site_fract_z
_atom_site_occupancy
Sc1 0.172 0.328 0.000 1
Sb1 0.148 0.648 0.500 1
H1 0.000 0.000 0.000 1
```

=====

# 14
A plane-wave DFT calculation with PBE was carried out for ErHf2Zn after structural relaxation.

Formation energy from the elements, meV/atom: 86
ΔE to the lowest computed polymorph, meV per atom: 0

Cell and atoms, written as CIF:
```
data_ErHf2Zn
_chemical_formula_sum 'Er3 Hf6 Zn3'
_cell_length_a 3.2856
_cell_length_b 3.2856
_cell_length_c 29.0527
_cell_angle_alpha 90.00
_cell_angle_beta 90.00
_cell_angle_gamma 120.00
_space_group_name_H-M_alt 'R 3 m'
_space_group_IT_number 160
_space_group_name_Hall 'R 3 -2"'
loop_
_atom_site_label
_atom_site_fract_x
_atom_site_fract_y
_atom_site_fract_z
_atom_site_occupancy
Er1 0.0000 0.0000 0.0000 1
Hf1 0.0000 0.0000 0.5748 1
Hf2 0.0000 0.0000 0.7591 1
Zn1 0.0000 0.0000 0.1666 1
```

=====

# 15
A plane-wave DFT calculation with PBE was carried out for Be2AlH8 after structural relaxation.

Calculated total energy, eV/atom: -3.3072

Cell and atoms, written as CIF:
```
data_Be2AlH8
_chemical_formula_sum 'Be4 Al2 H16'
_cell_length_a 6.886
_cell_length_b 7.689
_cell_length_c 4.096
_cell_angle_alpha 90.00
_cell_angle_beta 106.32
_cell_angle_gamma 90.00
_space_group_name_H-M_alt 'C 1 2/m 1'
_space_group_IT_number 12
_space_group_name_Hall '-C 2y'
loop_
_atom_site_label
_atom_site_fract_x
_atom_site_fract_y
_atom_site_fract_z
_atom_site_occupancy
Be1 0.207 0.000 0.168 1
Al1 0.000 0.000 0.500 1
H1 0.059 0.500 0.582 1
H2 0.133 0.148 0.315 1
H3 0.231 0.000 0.843 1
```

=====

# 16
A plane-wave DFT calculation with PBE was carried out for CrInRu3 after structural relaxation.

Formation energy from the elements, meV/atom: 972

Cell and atoms, written as CIF:
```
data_CrInRu3
_chemical_formula_sum 'Cr1 In1 Ru3'
_cell_length_a 4.452
_cell_length_b 4.452
_cell_length_c 4.452
_cell_angle_alpha 90.00
_cell_angle_beta 90.00
_cell_angle_gamma 90.00
_space_group_name_H-M_alt 'P m -3 m'
_space_group_IT_number 221
_space_group_name_Hall '-P 4 2 3'
loop_
_atom_site_label
_atom_site_fract_x
_atom_site_fract_y
_atom_site_fract_z
_atom_site_occupancy
Cr1 0.000 0.000 0.000 1
In1 0.500 0.500 0.500 1
Ru1 0.000 0.000 0.500 1
```

=====

# 17
A plane-wave DFT calculation with PBE was carried out for LaDyS2O8 after structural relaxation.

Formation energy (no corrections), eV/atom: -1.89

Cell and atoms, written as CIF:
```
data_LaDyS2O8
_chemical_formula_sum 'La1 Dy1 S2 O8'
_cell_length_a 5.7046
_cell_length_b 5.7046
_cell_length_c 6.6025
_cell_angle_alpha 90.00
_cell_angle_beta 90.00
_cell_angle_gamma 120.00
_space_group_name_H-M_alt 'P -3 m 1'
_space_group_IT_number 164
_space_group_name_Hall '-P 3 2"'
loop_
_atom_site_label
_atom_site_fract_x
_atom_site_fract_y
_atom_site_fract_z
_atom_site_occupancy
La1 0.0000 0.0000 0.0000 1
Dy1 0.0000 0.0000 0.5000 1
S1 0.3333 0.6667 0.2113 1
O1 0.1882 0.3763 0.2850 1
O2 0.3333 0.6667 0.9889 1
```

=====

# 18
A plane-wave DFT calculation with PBE was carried out for TmThC after structural relaxation.

Formation energy from the elements, meV/atom: 258
ΔE to the lowest computed polymorph, meV per atom: 521

Cell and atoms, written as CIF:
```
data_TmThC
_chemical_formula_sum 'Tm2 Th2 C2'
_cell_length_a 3.232
_cell_length_b 3.232
_cell_length_c 11.910
_cell_angle_alpha 90.00
_cell_angle_beta 90.00
_cell_angle_gamma 90.00
_space_group_name_H-M_alt 'I 4 m m'
_space_group_IT_number 107
_space_group_name_Hall 'I 4 -2'
loop_
_atom_site_label
_atom_site_fract_x
_atom_site_fract_y
_atom_site_fract_z
_atom_site_occupancy
Tm1 0.000 0.000 0.000 1
Th1 0.000 0.000 0.238 1
C1 0.000 0.000 0.623 1
```

=====

# 19
A plane-wave DFT calculation with PBE was carried out for PaGaGe after structural relaxation.

Formation energy from the elements, meV/atom: -37
ΔE to the lowest computed polymorph, meV per atom: 284

Cell and atoms, written as CIF:
```
data_PaGaGe
_chemical_formula_sum 'Pa4 Ga4 Ge4'
_cell_length_a 3.133
_cell_length_b 15.435
_cell_length_c 5.277
_cell_angle_alpha 90.00
_cell_angle_beta 90.00
_cell_angle_gamma 90.00
_space_group_name_H-M_alt 'C m c m'
_space_group_IT_number 63
_space_group_name_Hall '-C 2c 2'
loop_
_atom_site_label
_atom_site_fract_x
_atom_site_fract_y
_atom_site_fract_z
_atom_site_occupancy
Pa1 0.000 0.175 0.250 1
Ga1 0.000 0.366 0.250 1
Ge1 0.000 0.000 0.000 1
```

=====

# 20
A plane-wave DFT calculation with PBE was carried out for AlAsHO2 after structural relaxation.

Calculated total energy, eV/atom: -4.8145

Cell and atoms, written as CIF:
```
data_AlAsHO2
_chemical_formula_sum 'Al1 As1 H1 O2'
_cell_length_a 3.473
_cell_length_b 3.473
_cell_length_c 5.973
_cell_angle_alpha 90.00
_cell_angle_beta 90.00
_cell_angle_gamma 90.00
_space_group_name_H-M_alt 'P 4/m m m'
_space_group_IT_number 123
_space_group_name_Hall '-P 4 2'
loop_
_atom_site_label
_atom_site_fract_x
_atom_site_fract_y
_atom_site_fract_z
_atom_site_occupancy
Al1 0.000 0.000 0.000 1
As1 0.000 0.000 0.500 1
H1 0.500 0.500 0.500 1
O1 0.000 0.500 0.000 1
```

=====

no.,V (Å³ per cell),theoretical density (Mg/m³)
1,906,2.6
2,120,14.3
3,385,9.4
4,73,10.7
5,313,8.3
6,114,8.6
7,162,6.1
8,193,8.8
9,214,5.0
10,639,8.7
11,205,7.5
12,422,2.7
13,206,5.4
14,272,10.8
15,208,0.8
16,88,8.8
17,186,4.4
18,124,11.0
19,255,9.7
20,72,3.1